1.
A plane-wave DFT calculation with PBE was carried out for crystalline Ba5CdRh at its relaxed geometry.

Values from the calculation:
Space-group type = C2/c (15)
Calculated volume = 48.90 Å³ per atom
Energy = -2.718 eV per atom
Density = 4.4 g/cm3

Cell lengths 8.1982, 8.1982, 11.0244 Å; angles 99.02, 99.02, 106.74 degrees
Last column: nearest neighbours and their distance in Å.
Fractional positions:
Ba1 0.3803 0.2389 0.0249  1 Rh 3.11
Ba2 0.3270 0.9341 0.6221  1 Rh 3.04
Ba3 0.2389 0.3803 0.5249  1 Rh 3.11
Ba4 0.8976 0.1024 0.7500  2 Rh 3.07
Ba5 0.0659 0.6730 0.8779  1 Rh 3.04
Ba6 0.9341 0.3270 0.1221  1 Rh 3.04
Ba7 0.1024 0.8976 0.2500  2 Rh 3.07
Ba8 0.7611 0.6197 0.4751  1 Rh 3.11
Ba9 0.6730 0.0659 0.3779  1 Rh 3.04
Ba10 0.6197 0.7611 0.9751  1 Rh 3.11
Cd1 0.6198 0.3802 0.7500  7 Ba 3.65-4.00
Cd2 0.3802 0.6198 0.2500  7 Ba 3.65-4.00
Rh1 0.0000 0.0000 0.0000  6 Ba 3.04-3.11
Rh2 0.0000 0.0000 0.5000  6 Ba 3.04-3.11



2.
A plane-wave DFT calculation with PBE was carried out for crystalline Ba5Cd5Rh2 at its relaxed geometry.

Values from the calculation:
Space-group type = C2/m (12)
Calculated volume = 34.78 Å³ per atom
Energy = -2.684 eV per atom
Density = 5.8 g/cm3

Cell lengths 4.7422, 9.2119, 10.1774 Å; angles 84.25, 76.53, 75.08 degrees
Last column: nearest neighbours and their distance in Å.
Fractional positions:
Ba1 0.0000 0.5000 0.5000  6 Cd 3.51-3.67, 4 Rh 3.52
Ba2 0.7003 0.6784 0.9210  3 Rh 3.32-3.49, 5 Cd 3.45-3.55
Ba3 0.3830 0.9174 0.3165  5 Cd 3.44-3.79, 1 Rh 3.47
Ba4 0.6170 0.0826 0.6835  5 Cd 3.44-3.79, 1 Rh 3.47
Ba5 0.2997 0.3216 0.0790  3 Rh 3.32-3.49, 5 Cd 3.45-3.55
Cd1 0.7065 0.2473 0.3397  1 Rh 2.76
Cd2 0.9343 0.3121 0.8192  2 Rh 2.76
Cd3 0.0657 0.6879 0.1808  2 Rh 2.76
Cd4 0.2935 0.7527 0.6603  1 Rh 2.76
Cd5 0.0000 0.0000 0.0000  2 Cd 3.24
Rh1 0.3893 0.4591 0.7622  3 Cd 2.76
Rh2 0.6107 0.5409 0.2378  3 Cd 2.76



3.
A plane-wave DFT calculation with PBE was carried out for crystalline BaCd4Rh at its relaxed geometry.

Values from the calculation:
Space-group type = Pmma (51)
Calculated volume = 25.47 Å³ per atom
Energy = -2.419 eV per atom
Density = 7.5 g/cm3
Excess energy over the best structure of this formula in the dataset = 0.0 kJ/mol of formula units

Cell lengths 4.4617, 7.8021, 8.7810 Å; angles 90.00, 90.00, 90.00 degrees
Last column: nearest neighbours and their distance in Å.
Fractional positions:
Ba1 0.0000 0.5961 0.7500  1 Rh 3.07
Ba2 0.0000 0.4039 0.2500  1 Rh 3.07
Cd1 0.0000 0.0000 0.5000  2 Rh 2.71
Cd2 0.0000 0.0000 0.0000  2 Rh 2.71
Cd3 0.5000 0.9631 0.7500  2 Rh 2.91, 6 Cd 3.07-3.14
Cd4 0.5000 0.0369 0.2500  2 Rh 2.91, 6 Cd 3.07-3.14
Cd5 0.5000 0.7040 0.0630  2 Rh 2.86, 1 Cd 3.07
Cd6 0.5000 0.2960 0.9370  2 Rh 2.86, 1 Cd 3.07
Cd7 0.5000 0.7040 0.4370  2 Rh 2.86, 1 Cd 3.07
Cd8 0.5000 0.2960 0.5630  2 Rh 2.86, 1 Cd 3.07
Rh1 0.0000 0.2032 0.7500  8 Cd 2.71-2.91
Rh2 0.0000 0.7968 0.2500  8 Cd 2.71-2.91



4.
A plane-wave DFT calculation with PBE was carried out for crystalline BaCd3Rh at its relaxed geometry.

Values from the calculation:
Space-group type = Pm-3m (221)
Calculated volume = 49.68 Å³ per atom
Energy = -0.977 eV per atom
Density = 3.9 g/cm3
Excess energy over the best structure of this formula in the dataset = 813.9 kJ/mol of formula units

Cell lengths 6.2860, 6.2860, 6.2860 Å; angles 90.00, 90.00, 90.00 degrees
Last column: nearest neighbours and their distance in Å.
Fractional positions:
Rh1 0.5000 0.5000 0.5000  12 Cd 4.44
Ba1 0.0000 0.0000 0.0000  6 Cd 3.14
Cd1 0.0000 0.5000 0.0000  2 Ba 3.14
Cd2 0.0000 0.0000 0.5000  2 Ba 3.14
Cd3 0.5000 0.0000 0.0000  2 Ba 3.14



5.
A plane-wave DFT calculation with PBE was carried out for crystalline Ba2CdRh at its relaxed geometry.

Values from the calculation:
Space-group type = P4/mmm (123)
Calculated volume = 32.43 Å³ per atom
Energy = -3.173 eV per atom
Density = 6.3 g/cm3

Cell lengths 3.9236, 3.9236, 8.4252 Å; angles 90.00, 90.00, 90.00 degrees
Last column: nearest neighbours and their distance in Å.
Fractional positions:
Ba1 0.0000 0.0000 0.2131  4 Rh 3.30, 1 Ba 3.59, 4 Cd 3.68
Ba2 0.0000 0.0000 0.7869  4 Rh 3.30, 1 Ba 3.59, 4 Cd 3.68
Cd1 0.5000 0.5000 0.5000  8 Ba 3.68, 4 Cd 3.92
Rh1 0.5000 0.5000 0.0000  8 Ba 3.30



6.
A plane-wave DFT calculation with PBE was carried out for crystalline Ba2CdRh at its relaxed geometry.

Values from the calculation:
Space-group type = F-43m (216)
Calculated volume = 28.60 Å³ per atom
Energy = -2.978 eV per atom
Density = 7.1 g/cm3

Cell lengths 5.4488, 5.4488, 5.4488 Å; angles 60.00, 60.00, 60.00 degrees
Last column: nearest neighbours and their distance in Å.
Fractional positions:
Ba1 0.0000 0.0000 0.0000  4 Ba 3.34, 4 Rh 3.34
Ba2 0.7500 0.7500 0.7500  4 Ba 3.34, 4 Cd 3.34
Cd1 0.5000 0.5000 0.5000  4 Ba 3.34, 4 Rh 3.34
Rh1 0.2500 0.2500 0.2500  4 Ba 3.34, 4 Cd 3.34



7.
A plane-wave DFT calculation with PBE was carried out for crystalline BaCd3Rh at its relaxed geometry.

Values from the calculation:
Space-group type = C2/m (12)
Calculated volume = 25.45 Å³ per atom
Energy = -2.602 eV per atom
Density = 7.5 g/cm3
Excess energy over the best structure of this formula in the dataset = 30.2 kJ/mol of formula units

Cell lengths 24.4530, 9.3982, 9.3982 Å; angles 151.32, 159.92, 20.08 degrees
Last column: nearest neighbours and their distance in Å.
Fractional positions:
Rh1 0.6120 0.9151 0.0849  1 Rh 2.59, 4 Cd 2.79-2.84
Rh2 0.3880 0.0849 0.9151  1 Rh 2.59, 4 Cd 2.79-2.84
Ba1 0.7821 0.0787 0.9213  4 Rh 3.29-3.32, 6 Cd 3.52-3.67
Ba2 0.2179 0.9213 0.0787  4 Rh 3.29-3.32, 6 Cd 3.52-3.67
Cd1 0.7440 0.3217 0.6783  2 Rh 2.84, 4 Cd 3.09-3.10
Cd2 0.2560 0.6783 0.3217  2 Rh 2.84, 4 Cd 3.09-3.10
Cd3 0.0832 0.3070 0.6930  1 Rh 2.83, 2 Cd 3.09
Cd4 0.9168 0.6930 0.3070  1 Rh 2.83, 2 Cd 3.09
Cd5 0.5998 0.6728 0.3272  1 Rh 2.79, 1 Cd 3.10
Cd6 0.4002 0.3272 0.6728  1 Rh 2.79, 1 Cd 3.10



8.
A plane-wave DFT calculation with PBE was carried out for crystalline Ba5Cd2Rh at its relaxed geometry.

Values from the calculation:
Space-group type = C2/c (15)
Calculated volume = 44.35 Å³ per atom
Energy = -2.543 eV per atom
Density = 4.7 g/cm3

Cell lengths 7.3583, 9.3419, 11.0456 Å; angles 97.16, 109.46, 90.00 degrees
Last column: nearest neighbours and their distance in Å.
Fractional positions:
Ba1 0.5360 0.5671 0.7839  1 Rh 3.04
Ba2 0.1220 0.7500 0.0000  4 Cd 3.51-3.61
Ba3 0.8780 0.2500 0.0000  4 Cd 3.51-3.61
Ba4 0.8750 0.6887 0.5573  2 Rh 3.11-3.25
Ba5 0.1250 0.3113 0.4427  2 Rh 3.11-3.25
Ba6 0.6823 0.1887 0.5573  2 Rh 3.11-3.25
Ba7 0.3177 0.8113 0.4427  2 Rh 3.11-3.25
Ba8 0.4640 0.4329 0.2161  1 Rh 3.04
Ba9 0.2479 0.0671 0.7839  1 Rh 3.04
Ba10 0.7521 0.9329 0.2161  1 Rh 3.04
Cd1 0.0642 0.4258 0.7894  6 Ba 3.51-3.74
Cd2 0.7252 0.9258 0.7894  6 Ba 3.51-3.74
Cd3 0.9358 0.5742 0.2106  6 Ba 3.51-3.74
Cd4 0.2748 0.0742 0.2106  6 Ba 3.51-3.74
Rh1 0.0000 0.0000 0.5000  6 Ba 3.04-3.25
Rh2 0.5000 0.5000 0.5000  6 Ba 3.04-3.25



9.
A plane-wave DFT calculation with PBE was carried out for crystalline BaCd3Rh at its relaxed geometry.

Values from the calculation:
Space-group type = P2_1/c (14)
Calculated volume = 27.25 Å³ per atom
Energy = -2.605 eV per atom
Density = 7.0 g/cm3
Excess energy over the best structure of this formula in the dataset = 28.8 kJ/mol of formula units

Cell lengths 24.6299, 6.9760, 8.1930 Å; angles 90.00, 157.22, 90.00 degrees
Last column: nearest neighbours and their distance in Å.
Fractional positions:
Rh1 0.5531 0.8346 0.5874  1 Rh 2.70, 7 Cd 2.73-2.96
Rh2 0.4469 0.1654 0.4126  1 Rh 2.70, 7 Cd 2.73-2.96
Rh3 0.9469 0.3346 0.9126  1 Rh 2.70, 7 Cd 2.73-2.96
Rh4 0.0531 0.6654 0.0874  1 Rh 2.70, 7 Cd 2.73-2.96
Ba1 0.2017 0.1499 0.9842  1 Rh 3.12
Ba2 0.7983 0.8501 0.0158  1 Rh 3.12
Ba3 0.2983 0.6499 0.5158  1 Rh 3.12
Ba4 0.7017 0.3501 0.4842  1 Rh 3.12
Cd1 0.2676 0.8604 0.8268  3 Rh 2.73-2.82, 1 Cd 3.04
Cd2 0.7324 0.1396 0.1732  3 Rh 2.73-2.82, 1 Cd 3.04
Cd3 0.2324 0.3604 0.6732  3 Rh 2.73-2.82, 1 Cd 3.04
Cd4 0.7676 0.6396 0.3268  3 Rh 2.73-2.82, 1 Cd 3.04
Cd5 0.4276 0.5470 0.4616  2 Rh 2.80-2.96, 4 Cd 2.97-3.09
Cd6 0.5724 0.4530 0.5384  2 Rh 2.80-2.96, 4 Cd 2.97-3.09
Cd7 0.0724 0.0470 0.0384  2 Rh 2.80-2.96, 4 Cd 2.97-3.09
Cd8 0.9276 0.9530 0.9616  2 Rh 2.80-2.96, 4 Cd 2.97-3.09
Cd9 0.5583 0.9019 0.9553  2 Rh 2.86-2.93, 3 Cd 2.97-3.20
Cd10 0.4417 0.0981 0.0447  2 Rh 2.86-2.93, 3 Cd 2.97-3.20
Cd11 0.9417 0.4019 0.5447  2 Rh 2.86-2.93, 3 Cd 2.97-3.20
Cd12 0.0583 0.5981 0.4553  2 Rh 2.86-2.93, 3 Cd 2.97-3.20



10.
A plane-wave DFT calculation with PBE was carried out for crystalline BaCd2Rh at its relaxed geometry.

Values from the calculation:
Space-group type = Pmm2 (25)
Calculated volume = 25.64 Å³ per atom
Energy = -2.871 eV per atom
Density = 7.5 g/cm3

Cell lengths 3.4505, 3.9007, 7.6187 Å; angles 90.00, 90.00, 90.00 degrees
Last column: nearest neighbours and their distance in Å.
Fractional positions:
Ba1 0.5000 0.5000 0.7165  1 Cd 3.27, 4 Rh 3.38, 2 Ba 3.45
Cd1 0.0000 0.0000 0.0634  1 Rh 2.82, 4 Cd 3.11
Cd2 0.5000 0.5000 0.2870  4 Rh 2.83, 4 Cd 3.11
Rh1 0.0000 0.0000 0.4332  5 Cd 2.82-2.83



11.
A plane-wave DFT calculation with PBE was carried out for crystalline BaCd4Rh at its relaxed geometry.

Values from the calculation:
Space-group type = F-43m (216)
Calculated volume = 23.99 Å³ per atom
Energy = -2.167 eV per atom
Density = 8.0 g/cm3
Excess energy over the best structure of this formula in the dataset = 146.0 kJ/mol of formula units

Cell lengths 5.8827, 5.8827, 5.8827 Å; angles 60.00, 60.00, 60.00 degrees
Last column: nearest neighbours and their distance in Å.
Fractional positions:
Ba1 0.0000 0.0000 0.0000  12 Cd 3.45, 4 Rh 3.60
Cd1 0.8698 0.3767 0.3767  6 Cd 2.90-2.98
Cd2 0.3767 0.3767 0.8698  6 Cd 2.90-2.98
Cd3 0.3767 0.8698 0.3767  6 Cd 2.90-2.98
Cd4 0.3767 0.3767 0.3767  6 Cd 2.90-2.98
Rh1 0.7500 0.7500 0.7500  12 Cd 3.44, 4 Ba 3.60



12.
A plane-wave DFT calculation with PBE was carried out for crystalline BaCd3Rh at its relaxed geometry.

Values from the calculation:
Space-group type = C2/c (15)
Calculated volume = 26.57 Å³ per atom
Energy = -2.497 eV per atom
Density = 7.2 g/cm3
Excess energy over the best structure of this formula in the dataset = 80.9 kJ/mol of formula units

Cell lengths 13.6514, 9.0927, 9.0927 Å; angles 89.17, 128.26, 51.74 degrees
Last column: nearest neighbours and their distance in Å.
Fractional positions:
Rh1 0.7500 0.1125 0.6125  6 Cd 2.79-2.89
Rh2 0.2500 0.8875 0.3875  6 Cd 2.79-2.89
Rh3 0.7500 0.4788 0.9788  6 Cd 2.78-2.83
Rh4 0.2500 0.5212 0.0212  6 Cd 2.78-2.83
Ba1 0.4335 0.0383 0.6212  2 Rh 3.17-3.23, 4 Cd 3.41-3.48, 1 Ba 3.48
Ba2 0.0665 0.1212 0.5383  2 Rh 3.17-3.23, 4 Cd 3.41-3.48, 1 Ba 3.48
Ba3 0.5665 0.9617 0.3788  2 Rh 3.17-3.23, 4 Cd 3.41-3.48, 1 Ba 3.48
Ba4 0.9335 0.8788 0.4617  2 Rh 3.17-3.23, 4 Cd 3.41-3.48, 1 Ba 3.48
Cd1 0.3852 0.4686 0.4338  3 Rh 2.79-2.89, 3 Cd 2.97-3.03
Cd2 0.1148 0.9338 0.9686  3 Rh 2.79-2.89, 3 Cd 2.97-3.03
Cd3 0.6148 0.5314 0.5662  3 Rh 2.79-2.89, 3 Cd 2.97-3.03
Cd4 0.8852 0.0662 0.0314  3 Rh 2.79-2.89, 3 Cd 2.97-3.03
Cd5 0.0146 0.3182 0.0017  2 Rh 2.78-2.83, 4 Cd 2.97-3.07
Cd6 0.4854 0.5017 0.8182  2 Rh 2.78-2.83, 4 Cd 2.97-3.07
Cd7 0.9854 0.6818 0.9983  2 Rh 2.78-2.83, 4 Cd 2.97-3.07
Cd8 0.5146 0.4983 0.1818  2 Rh 2.78-2.83, 4 Cd 2.97-3.07
Cd9 0.9191 0.5878 0.2342  1 Rh 2.82, 2 Cd 3.07-3.10
Cd10 0.5809 0.7342 0.0878  1 Rh 2.82, 2 Cd 3.07-3.10
Cd11 0.0809 0.4122 0.7658  1 Rh 2.82, 2 Cd 3.07-3.10
Cd12 0.4191 0.2658 0.9122  1 Rh 2.82, 2 Cd 3.07-3.10



- Look up the density of the fifth one.
  6.3 g/cm3